(1)
Material: AsIr2Pd
Method: DFT, PBE-GGA
State: optimized geometry

Structure (POSCAR):
```
AsIr2Pd
1.0
-2.631 2.631 6.195
2.631 -2.631 6.195
2.631 2.631 -6.195
As Ir Pd
2 4 2
direct
0.000 0.000 0.000
0.750 0.250 0.500
0.100 0.625 0.975
0.375 0.350 0.475
0.650 0.125 0.025
0.875 0.900 0.525
0.250 0.750 0.500
0.500 0.500 0.000
```

## Properties
The density of states at the Fermi level is 1.219 states/eV/atom. The energy of formation from the pure elements is 731 meV/atom. For the calculated volume, the calculation gives 171 Å³ per cell. The value obtained for the total energy is -49.28 eV for the cell shown.


(2)
Material: Zr3AgGe
Method: DFT, PBE-GGA
State: optimized geometry

Structure (POSCAR):
```
Zr3AgGe
1.0
5.108 0.000 0.000
0.000 5.108 0.000
0.000 0.000 5.108
Zr Ag Ge
3 1 1
direct
0.000 0.000 0.500
0.000 0.500 0.000
0.500 0.000 0.000
0.000 0.000 0.000
0.500 0.500 0.500
```

## Properties
The density of states at the Fermi level is 0.996 states/eV/atom. The calculation puts the energy above the most stable polymorph in this dataset at 246 kJ/mol of formula units. The energy of formation from the pure elements is 850 meV/atom. For the calculated volume, the calculation gives 133 Å³ per cell. The value obtained for the total energy is -28.86 eV for the cell shown.


(3)
Material: Sr2ScMo
Method: DFT, PBE-GGA
State: optimized geometry

Structure (POSCAR):
```
Sr2ScMo
1.0
2.153 -2.393 0.000
2.153 2.393 0.000
0.000 0.000 11.225
Sr Sc Mo
2 1 1
direct
0.000 0.000 0.219
0.000 0.000 0.781
0.500 0.500 0.500
0.500 0.500 0.000
```

## Properties
The density of states at the Fermi level is 1.320 states/eV/atom. The calculation puts the energy above the most stable polymorph in this dataset at 180 kJ/mol of formula units. The energy of formation from the pure elements is 928 meV/atom. For the calculated volume, the calculation gives 116 Å³ per cell. The value obtained for the total energy is -16.82 eV for the cell shown.


(4)
Material: Tb2HoTlC
Method: DFT, PBE-GGA
State: optimized geometry

Structure (POSCAR):
```
Tb2HoTlC
1.0
4.955 0.000 0.000
0.000 4.955 0.000
0.000 0.000 4.896
Tb Ho Tl C
2 1 1 1
direct
0.000 0.500 0.000
0.500 0.000 0.000
0.000 0.000 0.500
0.500 0.500 0.500
0.000 0.000 0.000
```

## Properties
The density of states at the Fermi level is 0.315 states/eV/atom. The energy of formation from the pure elements is -446 meV/atom. For the calculated volume, the calculation gives 120 Å³ per cell. The value obtained for the total energy is -27.66 eV for the cell shown.


(5)
Material: Pr3Sm6Er2Sc
Method: DFT, PBE-GGA
State: optimized geometry

Structure (POSCAR):
```
Pr3Sm6Er2Sc
1.0
3.124 -5.412 0.000
3.124 5.412 0.000
-2.085 0.000 11.719
Pr Sm Er Sc
3 6 2 1
direct
0.000 0.000 0.000
0.333 0.667 0.000
0.667 0.333 0.000
0.089 0.420 0.258
0.250 0.250 0.742
0.420 0.089 0.258
0.580 0.911 0.742
0.750 0.750 0.258
0.911 0.580 0.742
0.167 0.833 0.500
0.833 0.167 0.500
0.500 0.500 0.500
```

## Properties
The density of states at the Fermi level is 1.397 states/eV/atom. The energy of formation from the pure elements is 33 meV/atom. For the calculated volume, the calculation gives 396 Å³ per cell. The value obtained for the total energy is -57.72 eV for the cell shown.


(6)
Material: Bi2IO2
Method: DFT, PBE-GGA
State: optimized geometry

Structure (POSCAR):
```
Bi2IO2
1.0
2.976 -2.971 0.000
2.976 2.971 0.000
-2.959 0.000 6.357
Bi I O
2 1 2
direct
0.163 0.163 0.325
0.837 0.837 0.675
0.500 0.500 0.000
0.250 0.750 0.500
0.750 0.250 0.500
```

## Properties
The density of states at the Fermi level is 0.424 states/eV/atom. For the uncorrected formation energy, the calculation gives -0.853 eV per atom. For the calculated volume, the calculation gives 112 Å³ per cell. The value obtained for the total energy is -23.49 eV for the cell shown.